Record 1
{"formula": "Mg2CdFeS", "functional": "PBE", "state": "relaxed", "raw_formation_energy_ev_per_atom": 0.639, "dos_at_fermi_per_ev_fu": 5.04, "lattice_angstrom": [[4.9966, 0.0000, 0.0000], [0.0000, 4.9966, 0.0000], [0.0000, 0.0000, 4.9353]], "species": ["Mg", "Mg", "Cd", "Fe", "S"], "frac_coords": [[0.0000, 0.5000, 0.0000], [0.5000, 0.0000, 0.0000], [0.0000, 0.0000, 0.5000], [0.0000, 0.0000, 0.0000], [0.5000, 0.5000, 0.5000]]}

=====

Record 2
{"formula": "Mg2CdFeW", "functional": "PBE", "state": "relaxed", "dos_at_fermi_per_ev_fu": 5.00, "formation_energy_ev_per_atom": 1.192, "lattice_angstrom": [[5.2406, 0.0000, 0.0000], [0.0000, 5.2406, 0.0000], [0.0000, 0.0000, 4.4265]], "species": ["Mg", "Mg", "Cd", "Fe", "W"], "frac_coords": [[0.0000, 0.5000, 0.0000], [0.5000, 0.0000, 0.0000], [0.0000, 0.0000, 0.5000], [0.5000, 0.5000, 0.5000], [0.5000, 0.5000, 0.0000]]}

=====

Record 3
{"formula": "MgZn2CdFe", "functional": "PBE", "state": "relaxed", "dos_at_fermi_per_ev_fu": 3.58, "formation_energy_ev_per_atom": 0.917, "lattice_angstrom": [[4.8461, 0.0000, 0.0000], [0.0000, 4.8461, 0.0000], [0.0000, 0.0000, 4.7709]], "species": ["Mg", "Zn", "Zn", "Cd", "Fe"], "frac_coords": [[0.0000, 0.0000, 0.0000], [0.0000, 0.5000, 0.0000], [0.5000, 0.0000, 0.0000], [0.5000, 0.5000, 0.5000], [0.0000, 0.0000, 0.5000]]}

=====

Record 4
{"formula": "MnCdFe", "functional": "PBE", "state": "relaxed", "relative_energy_mev_per_atom": 482, "dos_at_fermi_per_ev_fu": 2.42, "formation_energy_ev_per_atom": 0.800, "lattice_angstrom": [[0.0000, 2.9921, 2.9921], [2.9921, 0.0000, 2.9921], [2.9921, 2.9921, 0.0000]], "species": ["Mn", "Cd", "Fe"], "frac_coords": [[0.0000, 0.0000, 0.0000], [0.7500, 0.7500, 0.7500], [0.2500, 0.2500, 0.2500]]}

=====

Record 5
{"formula": "MnCd2Fe", "functional": "PBE", "state": "relaxed", "relative_energy_mev_per_atom": 84, "dos_at_fermi_per_ev_fu": 3.51, "formation_energy_ev_per_atom": 0.332, "lattice_angstrom": [[2.8869, 0.0000, 0.0000], [0.0000, 4.0563, 0.0000], [-0.0246, 0.0000, 5.7130]], "species": ["Mn", "Cd", "Cd", "Fe"], "frac_coords": [[0.0000, 0.0000, 0.0000], [0.5001, 0.5000, 0.2531], [0.4999, 0.5000, 0.7469], [0.0000, 0.0000, 0.5000]]}

=====

Record 6
{"formula": "Mn2CdFe", "functional": "PBE", "state": "relaxed", "dos_at_fermi_per_ev_fu": 3.65, "formation_energy_ev_per_atom": 0.414, "lattice_angstrom": [[4.5629, -1.3827, 0.0000], [4.5629, 1.3827, 0.0000], [-0.8041, 0.0000, 4.7942]], "species": ["Mn", "Mn", "Cd", "Fe"], "frac_coords": [[0.0000, 0.0000, 0.0000], [0.2486, 0.2486, 0.7563], [0.7552, 0.7552, 0.2648], [0.5063, 0.5063, 0.5479]]}

=====

Record 7
{"formula": "MnCd2Fe", "functional": "PBE", "state": "relaxed", "relative_energy_mev_per_atom": 0, "dos_at_fermi_per_ev_fu": 3.50, "formation_energy_ev_per_atom": 0.248, "lattice_angstrom": [[2.8852, 0.0000, 0.0000], [0.0000, 2.8852, 0.0000], [0.0000, 0.0000, 7.9212]], "species": ["Mn", "Cd", "Cd", "Fe"], "frac_coords": [[0.0000, 0.0000, 0.0000], [0.0000, 0.0000, 0.5758], [0.5000, 0.5000, 0.2624], [0.5000, 0.5000, 0.8261]]}

=====

Record 8
{"formula": "Mn2CdFe", "functional": "PBE", "state": "relaxed", "dos_at_fermi_per_ev_fu": 2.57, "formation_energy_ev_per_atom": 0.397, "lattice_angstrom": [[-1.9375, 1.9375, 4.0055], [1.9375, -1.9375, 4.0055], [1.9375, 1.9375, -4.0055]], "species": ["Mn", "Mn", "Cd", "Fe"], "frac_coords": [[0.0000, 0.0000, 0.0000], [0.7500, 0.2500, 0.5000], [0.2500, 0.7500, 0.5000], [0.5000, 0.5000, 0.0000]]}

=====

Record 9
{"formula": "Mn2CdFe2", "functional": "PBE", "state": "relaxed", "relative_energy_mev_per_atom": 51, "dos_at_fermi_per_ev_fu": 6.55, "formation_energy_ev_per_atom": 0.393, "lattice_angstrom": [[-1.9086, 1.9086, 4.7144], [1.9086, -1.9086, 4.7144], [1.9086, 1.9086, -4.7144]], "species": ["Mn", "Mn", "Cd", "Fe", "Fe"], "frac_coords": [[0.2500, 0.7500, 0.5000], [0.7500, 0.2500, 0.5000], [0.0000, 0.0000, 0.0000], [0.3873, 0.3873, 0.0000], [0.6127, 0.6127, 0.0000]]}

=====

Record 10
{"formula": "Mn2CdFe", "functional": "PBE", "state": "relaxed", "dos_at_fermi_per_ev_fu": 5.22, "formation_energy_ev_per_atom": 0.374, "lattice_angstrom": [[1.3529, 0.7811, 8.8064], [-1.3529, 0.7811, 8.8064], [0.0000, -1.5622, 8.8064]], "species": ["Mn", "Mn", "Cd", "Fe"], "frac_coords": [[0.0000, 0.0000, 0.0000], [0.2595, 0.2595, 0.2595], [0.7601, 0.7601, 0.7601], [0.5182, 0.5182, 0.5182]]}

=====

Record 11
{"formula": "Mn2CdFe", "functional": "PBE", "state": "relaxed", "dos_at_fermi_per_ev_fu": 3.07, "formation_energy_ev_per_atom": 0.389, "lattice_angstrom": [[3.9749, 0.0000, 0.0000], [0.0000, 3.9749, 0.0000], [0.0000, 0.0000, 3.8225]], "species": ["Mn", "Mn", "Cd", "Fe"], "frac_coords": [[0.0000, 0.5000, 0.0000], [0.5000, 0.0000, 0.0000], [0.0000, 0.0000, 0.5000], [0.5000, 0.5000, 0.5000]]}

=====

Record 12
{"formula": "MnCd2Fe", "functional": "PBE", "state": "relaxed", "relative_energy_mev_per_atom": 143, "dos_at_fermi_per_ev_fu": 3.56, "formation_energy_ev_per_atom": 0.391, "lattice_angstrom": [[1.4524, 0.8386, 9.3949], [-1.4524, 0.8386, 9.3949], [0.0000, -1.6771, 9.3949]], "species": ["Mn", "Cd", "Cd", "Fe"], "frac_coords": [[0.0000, 0.0000, 0.0000], [0.2485, 0.2485, 0.2485], [0.7515, 0.7515, 0.7515], [0.5000, 0.5000, 0.5000]]}